Below is a relaxed RbFe2CoF crystal, with properties calculated at the GGA+U level.

Summary:
Raw total energy, eV/atom: -2.71
Symmetry: P4/mmm, No. 123

Lattice parameters (Å, degrees): 6.623 6.623 4.819 90.00 90.00 90.00
Fractional coordinates of all 5 atoms:
Rb 0.000 0.000 0.000
Fe 0.000 0.500 0.000
Fe 0.500 0.000 0.000
Co 0.500 0.500 0.500
F 0.000 0.000 0.500